i) The following is a DFT calculation (PBE) of a relaxed structure of Ac12Tl6Pb.

V	39.9	Å³/atom

Cell: 9.950 9.950 9.950 Å, 109.47 109.47 109.47°
Sites, in units of the cell vectors:
Ac: 0.107 0.289 0.818
Ac: 0.182 0.471 0.289
Ac: 0.182 0.893 0.711
Ac: 0.289 0.182 0.471
Ac: 0.289 0.818 0.107
Ac: 0.471 0.289 0.182
Ac: 0.529 0.711 0.818
Ac: 0.711 0.182 0.893
Ac: 0.711 0.818 0.529
Ac: 0.818 0.107 0.289
Ac: 0.818 0.529 0.711
Ac: 0.893 0.711 0.182
Tl: 0.130 0.500 0.630
Tl: 0.370 0.870 0.500
Tl: 0.500 0.370 0.870
Tl: 0.500 0.630 0.130
Tl: 0.630 0.130 0.500
Tl: 0.870 0.500 0.370
Pb: 0.000 0.000 0.000

ii) The following is a DFT calculation (PBE) of a relaxed structure of Ac12Tl6Pb.

V	40.9	Å³/atom

Cell: 9.889 9.889 9.889 Å, 108.20 108.20 108.20°
Sites, in units of the cell vectors:
Ac: 0.004 0.306 0.868
Ac: 0.121 0.453 0.355
Ac: 0.132 0.996 0.694
Ac: 0.306 0.868 0.004
Ac: 0.355 0.121 0.453
Ac: 0.453 0.355 0.121
Ac: 0.547 0.645 0.879
Ac: 0.645 0.879 0.547
Ac: 0.694 0.132 0.996
Ac: 0.868 0.004 0.306
Ac: 0.879 0.547 0.645
Ac: 0.996 0.694 0.132
Tl: 0.187 0.338 0.643
Tl: 0.338 0.643 0.187
Tl: 0.357 0.813 0.662
Tl: 0.643 0.187 0.338
Tl: 0.662 0.357 0.813
Tl: 0.813 0.662 0.357
Pb: 0.000 0.000 0.000

Bottom line: i), by a margin of 8.1 kJ/mol of atoms.

i) The following is a DFT calculation (PBE) of a relaxed structure of AcTlPb3.

V	45.1	Å³/atom

Cell: 12.215 12.215 12.215 Å, 150.13 150.13 42.75°
Sites, in units of the cell vectors:
Ac: 0.086 0.086 0.000
Ac: 0.914 0.914 0.000
Tl: 0.250 0.750 0.500
Tl: 0.500 0.500 0.000
Pb: 0.372 0.124 0.752
Pb: 0.372 0.620 0.248
Pb: 0.380 0.628 0.752
Pb: 0.502 0.002 0.500
Pb: 0.876 0.628 0.248
Pb: 0.998 0.498 0.500

ii) The following is a DFT calculation (PBE) of a relaxed structure of AcTlPb3.

V	39.2	Å³/atom

Cell: 8.639 8.639 5.829 Å, 90.00 90.00 115.75°
Sites, in units of the cell vectors:
Ac: 0.227 0.773 0.750
Ac: 0.773 0.227 0.250
Tl: 0.451 0.549 0.750
Tl: 0.549 0.451 0.250
Pb: 0.000 0.000 0.000
Pb: 0.000 0.000 0.500
Pb: 0.185 0.482 0.250
Pb: 0.482 0.185 0.750
Pb: 0.518 0.815 0.250
Pb: 0.815 0.518 0.750

Bottom line: ii), by a margin of 2.4 kJ/mol of atoms.

i) The following is a DFT calculation (PBE) of a relaxed structure of AcTlPb.

V	33.6	Å³/atom

Cell: 6.383 6.383 6.924 Å, 90.00 90.00 134.43°
Sites, in units of the cell vectors:
Ac: 0.174 0.826 0.750
Ac: 0.826 0.174 0.250
Tl: 0.128 0.872 0.250
Tl: 0.872 0.128 0.750
Pb: 0.500 0.500 0.000
Pb: 0.500 0.500 0.500

ii) The following is a DFT calculation (PBE) of a relaxed structure of AcTlPb.

V	34.7	Å³/atom

Cell: 5.008 5.008 4.792 Å, 90.00 90.00 120.00°
Sites, in units of the cell vectors:
Ac: 0.000 0.000 0.000
Tl: 0.333 0.667 0.640
Pb: 0.667 0.333 0.394

iii) The following is a DFT calculation (PBE) of a relaxed structure of AcTlPb.

V	37.7	Å³/atom

Cell: 5.430 5.430 5.430 Å, 60.00 60.00 60.00°
Sites, in units of the cell vectors:
Ac: 0.000 0.000 0.000
Tl: 0.250 0.250 0.250
Pb: 0.500 0.500 0.500

Bottom line: ii), by a margin of 0.6 kJ/mol of atoms.

i) The following is a DFT calculation (PBE) of a relaxed structure of Ac3Tl2Pb.

V	35.6	Å³/atom

Cell: 9.521 9.521 7.048 Å, 101.55 101.55 43.28°
Sites, in units of the cell vectors:
Ac: 0.137 0.863 0.750
Ac: 0.210 0.447 0.393
Ac: 0.447 0.210 0.893
Ac: 0.553 0.790 0.107
Ac: 0.790 0.553 0.607
Ac: 0.863 0.137 0.250
Tl: 0.043 0.283 0.049
Tl: 0.283 0.043 0.549
Tl: 0.717 0.957 0.451
Tl: 0.957 0.717 0.951
Pb: 0.361 0.639 0.250
Pb: 0.639 0.361 0.750

ii) The following is a DFT calculation (PBE) of a relaxed structure of Ac3Tl2Pb.

V	37.6	Å³/atom

Cell: 13.787 5.028 13.027 Å, 90.00 90.00 90.00°
Sites, in units of the cell vectors:
Ac: 0.050 0.250 0.117
Ac: 0.128 0.750 0.566
Ac: 0.215 0.250 0.810
Ac: 0.285 0.750 0.310
Ac: 0.372 0.250 0.066
Ac: 0.450 0.750 0.617
Ac: 0.550 0.250 0.383
Ac: 0.628 0.750 0.934
Ac: 0.715 0.250 0.690
Ac: 0.785 0.750 0.190
Ac: 0.872 0.250 0.434
Ac: 0.950 0.750 0.883
Tl: 0.002 0.750 0.299
Tl: 0.187 0.750 0.026
Tl: 0.313 0.250 0.526
Tl: 0.498 0.250 0.799
Tl: 0.502 0.750 0.201
Tl: 0.687 0.750 0.474
Tl: 0.813 0.250 0.974
Tl: 0.998 0.250 0.701
Pb: 0.129 0.250 0.374
Pb: 0.371 0.750 0.874
Pb: 0.629 0.250 0.126
Pb: 0.871 0.750 0.626

Bottom line: i), by a margin of 3.3 kJ/mol of atoms.

i) The following is a DFT calculation (PBE) of a relaxed structure of Ac2Tl2Pb3.

V	35.3	Å³/atom

Cell: 6.344 6.344 10.083 Å, 117.04 117.04 44.31°
Sites, in units of the cell vectors:
Ac: 0.202 0.202 0.272
Ac: 0.798 0.798 0.728
Tl: 0.151 0.151 0.875
Tl: 0.849 0.849 0.125
Pb: 0.472 0.472 0.640
Pb: 0.500 0.500 0.000
Pb: 0.528 0.528 0.360

ii) The following is a DFT calculation (PBE) of a relaxed structure of Ac2Tl2Pb3.

V	33.1	Å³/atom

Cell: 6.604 6.604 7.522 Å, 97.98 97.98 45.62°
Sites, in units of the cell vectors:
Ac: 0.103 0.103 0.292
Ac: 0.897 0.897 0.708
Tl: 0.385 0.385 0.394
Tl: 0.615 0.615 0.606
Pb: 0.201 0.201 0.847
Pb: 0.500 0.500 0.000
Pb: 0.799 0.799 0.153

Bottom line: ii), by a margin of 6.7 kJ/mol of atoms.

i) The following is a DFT calculation (PBE) of a relaxed structure of Ac3TlPb2.

V	36.0	Å³/atom

Cell: 9.757 9.757 6.945 Å, 101.63 101.63 41.96°
Sites, in units of the cell vectors:
Ac: 0.143 0.857 0.750
Ac: 0.211 0.443 0.386
Ac: 0.443 0.211 0.886
Ac: 0.557 0.789 0.114
Ac: 0.789 0.557 0.614
Ac: 0.857 0.143 0.250
Tl: 0.363 0.637 0.250
Tl: 0.637 0.363 0.750
Pb: 0.050 0.267 0.052
Pb: 0.267 0.050 0.552
Pb: 0.733 0.950 0.448
Pb: 0.950 0.733 0.948

ii) The following is a DFT calculation (PBE) of a relaxed structure of Ac3TlPb2.

V	37.5	Å³/atom

Cell: 13.585 5.074 13.061 Å, 90.00 90.00 90.00°
Sites, in units of the cell vectors:
Ac: 0.041 0.250 0.126
Ac: 0.132 0.750 0.566
Ac: 0.208 0.250 0.808
Ac: 0.292 0.750 0.308
Ac: 0.368 0.250 0.066
Ac: 0.459 0.750 0.626
Ac: 0.541 0.250 0.374
Ac: 0.632 0.750 0.934
Ac: 0.708 0.250 0.692
Ac: 0.792 0.750 0.192
Ac: 0.868 0.250 0.434
Ac: 0.959 0.750 0.874
Tl: 0.145 0.250 0.361
Tl: 0.355 0.750 0.861
Tl: 0.645 0.250 0.139
Tl: 0.855 0.750 0.639
Pb: 0.006 0.750 0.322
Pb: 0.182 0.750 0.026
Pb: 0.318 0.250 0.526
Pb: 0.494 0.250 0.822
Pb: 0.506 0.750 0.178
Pb: 0.682 0.750 0.474
Pb: 0.818 0.250 0.974
Pb: 0.994 0.250 0.678

Bottom line: ii), by a margin of 2.4 kJ/mol of atoms.